# Cu4Pt

Crystalline Cu4Pt at its relaxed geometry (PBE, Alexandria via LeMat-Bulk).

a = 4.781 Å, b = 4.781 Å, c = 4.781 Å
α = 101.94°, β = 101.94°, γ = 125.90°
Element x y z (fractional)
Cu: 0.304 0.304 0.608
Cu: 0.696 0.304 0.000
Cu: 0.696 0.696 0.392
Cu: 0.304 0.696 0.000
Pt: 0.000 0.000 0.000

Output
Final energy   -20.99 eV per formula unit
Energy above the lowest structure with this stoichiometry   0.389 eV per atom
DFT formation energy   28 kJ/mol of atoms

=====

# Tb2PaRu4

Crystalline Tb2PaRu4 at its relaxed geometry (PBE, Alexandria via LeMat-Bulk).

a = 4.576 Å, b = 4.576 Å, c = 7.469 Å
α = 107.84°, β = 107.84°, γ = 90.00°
Element x y z (fractional)
Tb: 0.736 0.736 0.472
Tb: 0.264 0.264 0.528
Pa: 0.000 0.000 0.000
Ru: 0.393 0.893 0.786
Ru: 0.893 0.393 0.786
Ru: 0.607 0.107 0.214
Ru: 0.107 0.607 0.214

Output
Final energy   -56.41 eV per formula unit
DFT formation energy   -8 kJ/mol of atoms

=====

# TaAuI2N

Crystalline TaAuI2N at its relaxed geometry (PBE, Alexandria via LeMat-Bulk).

a = 5.681 Å, b = 5.681 Å, c = 3.909 Å
α = 90.00°, β = 90.00°, γ = 90.00°
Element x y z (fractional)
I: 0.000 0.500 0.000
I: 0.500 0.000 0.000
N: 0.000 0.000 0.500
Au: 0.500 0.500 0.500
Ta: 0.000 0.000 0.000

Output
Formation energy (no corrections)   304.2 meV per atom
Final energy   -25.03 eV per formula unit
Energy above the lowest structure with this stoichiometry   0.000 eV per atom

=====

# LaCuSbCl2

Crystalline LaCuSbCl2 at its relaxed geometry (PBE, Alexandria via LeMat-Bulk).

a = 5.206 Å, b = 6.511 Å, c = 5.206 Å
α = 90.00°, β = 90.00°, γ = 90.00°
Element x y z (fractional)
Sb: 0.000 0.000 0.000
Cl: 0.000 0.000 0.500
Cl: 0.500 0.000 0.000
Cu: 0.500 0.500 0.500
La: 0.000 0.500 0.000

Output
Formation energy (no corrections)   -45.1 meV per atom
Final energy   -17.06 eV per formula unit